## KMnFe2 (GGA-PBE)

Data for a relaxed structure of KMnFe2.

Lattice parameters (Å, degrees): 5.060 5.060 2.727 90.00 90.00 90.00
Fractional positions:
K 0.000 0.000 0.000
Mn 0.500 0.500 0.000
Fe 0.000 0.500 0.500
Fe 0.500 0.000 0.500

crystal system	tetragonal
N(E_F)	1.779	states/eV per atom
ΔE to the lowest computed polymorph	631	meV/atom
SG	P4/mmm, No. 123
formation enthalpy at 0 K	126.56	kJ/mol of atoms

---

## KMnFe2 (GGA-PBE)

Data for a relaxed structure of KMnFe2.

Lattice parameters (Å, degrees): 8.787 2.773 6.868 90.00 93.70 90.00
Fractional positions:
K 0.000 0.000 0.000
K 0.500 0.500 0.000
Mn 0.000 0.500 0.500
Mn 0.500 0.000 0.500
Fe 0.233 0.000 0.633
Fe 0.267 0.500 0.367
Fe 0.733 0.500 0.633
Fe 0.767 0.000 0.367

crystal system	monoclinic
N(E_F)	0.937	states/eV per atom
ΔE to the lowest computed polymorph	110	meV/atom
SG	C2/m, No. 12
formation enthalpy at 0 K	76.24	kJ/mol of atoms

---

## KMnFe2 (GGA-PBE)

Data for a relaxed structure of KMnFe2.

Lattice parameters (Å, degrees): 2.666 2.666 9.019 90.00 90.00 90.00
Fractional positions:
K 0.000 0.000 0.000
Mn 0.000 0.000 0.500
Fe 0.500 0.500 0.323
Fe 0.500 0.500 0.677

crystal system	tetragonal
N(E_F)	1.168	states/eV per atom
ΔE to the lowest computed polymorph	146	meV/atom
SG	P4/mmm, No. 123
formation enthalpy at 0 K	79.70	kJ/mol of atoms

---

## K2MnFe (GGA-PBE)

Data for a relaxed structure of K2MnFe.

Lattice parameters (Å, degrees): 6.922 4.061 10.114 90.00 107.38 90.00
Fractional positions:
K 0.000 0.000 0.000
K 0.238 0.000 0.546
K 0.500 0.500 0.000
K 0.738 0.500 0.546
Mn 0.452 0.000 0.273
Mn 0.952 0.500 0.273
Fe 0.287 0.500 0.273
Fe 0.787 0.000 0.273

crystal system	monoclinic
N(E_F)	1.657	states/eV per atom
ΔE to the lowest computed polymorph	23	meV/atom
SG	Cm, No. 8
formation enthalpy at 0 K	77.54	kJ/mol of atoms

---

## K2MnFe (GGA-PBE)

Data for a relaxed structure of K2MnFe.

Lattice parameters (Å, degrees): 8.117 8.117 8.117 90.00 90.00 90.00
Fractional positions:
K 0.250 0.250 0.250
K 0.250 0.250 0.750
K 0.250 0.750 0.250
K 0.250 0.750 0.750
K 0.750 0.250 0.250
K 0.750 0.250 0.750
K 0.750 0.750 0.250
K 0.750 0.750 0.750
Mn 0.000 0.000 0.000
Mn 0.000 0.500 0.500
Mn 0.500 0.000 0.500
Mn 0.500 0.500 0.000
Fe 0.000 0.000 0.500
Fe 0.000 0.500 0.000
Fe 0.500 0.000 0.000
Fe 0.500 0.500 0.500

crystal system	cubic
N(E_F)	0.667	states/eV per atom
ΔE to the lowest computed polymorph	534	meV/atom
SG	Fm-3m, No. 225
formation enthalpy at 0 K	126.85	kJ/mol of atoms

---

## K2MnFe (GGA-PBE)

Data for a relaxed structure of K2MnFe.

Lattice parameters (Å, degrees): 5.491 5.491 7.742 90.00 90.00 90.00
Fractional positions:
K 0.000 0.000 0.000
K 0.000 0.500 0.250
K 0.500 0.000 0.750
K 0.500 0.500 0.500
Mn 0.000 0.500 0.750
Mn 0.500 0.000 0.250
Fe 0.000 0.000 0.500
Fe 0.500 0.500 0.000

crystal system	tetragonal
N(E_F)	1.195	states/eV per atom
ΔE to the lowest computed polymorph	439	meV/atom
SG	I-4m2, No. 119
formation enthalpy at 0 K	117.65	kJ/mol of atoms

---

## K2MnFe (GGA-PBE)

Data for a relaxed structure of K2MnFe.

Lattice parameters (Å, degrees): 3.218 3.218 35.511 90.00 90.00 120.00
Fractional positions:
K 0.000 0.000 0.246
K 0.000 0.000 0.754
K 0.333 0.667 0.420
K 0.333 0.667 0.913
K 0.667 0.333 0.087
K 0.667 0.333 0.580
Mn 0.000 0.000 0.000
Mn 0.333 0.667 0.667
Mn 0.667 0.333 0.333
Fe 0.000 0.000 0.500
Fe 0.333 0.667 0.167
Fe 0.667 0.333 0.833

crystal system	trigonal
N(E_F)	1.338	states/eV per atom
ΔE to the lowest computed polymorph	498	meV/atom
SG	R-3m, No. 166
formation enthalpy at 0 K	123.39	kJ/mol of atoms

---

## KMnFe2 (GGA-PBE)

Data for a relaxed structure of KMnFe2.

Lattice parameters (Å, degrees): 8.028 2.780 7.321 90.00 93.85 90.00
Fractional positions:
K 0.000 0.000 0.000
K 0.500 0.500 0.000
Mn 0.234 0.000 0.634
Mn 0.734 0.500 0.634
Fe 0.267 0.500 0.348
Fe 0.499 0.000 0.473
Fe 0.767 0.000 0.348
Fe 0.999 0.500 0.473

crystal system	monoclinic
N(E_F)	1.005	states/eV per atom
ΔE to the lowest computed polymorph	81	meV/atom
SG	Cm, No. 8
formation enthalpy at 0 K	73.49	kJ/mol of atoms